LiFeC2O6 | Alexandria | PBE with a Hubbard U | optimized geometry; E = -7.0719 eV/atom; M_tot = 20.0 μB per cell; space-group type = P2_1/c, No. 14; ΔE to the lowest computed polymorph = 52.8 meV per atom; density = 2.1 g cm⁻³; N(E_F) = 0.000 states/eV/atom
1.0
7.7762 0.0000 0.0000
0.0000 9.7981 0.0000
-5.3084 0.0000 7.4812
Li Fe C O
4 4 8 24
Direct
0.1595 0.1129 0.1642 Li
0.1595 0.3871 0.6642 Li
0.8405 0.6129 0.3358 Li
0.8405 0.8871 0.8358 Li
0.0601 0.1262 0.4602 Fe
0.0601 0.3738 0.9602 Fe
0.9399 0.6262 0.0398 Fe
0.9399 0.8738 0.5398 Fe
0.0328 0.1181 0.7775 C
0.0328 0.3819 0.2775 C
0.4014 0.0004 0.6593 C
0.4014 0.4996 0.1593 C
0.5986 0.9996 0.3407 C
0.5986 0.5004 0.8407 C
0.9672 0.6181 0.7225 C
0.9672 0.8819 0.2225 C
0.0140 0.0103 0.2506 O
0.0140 0.4897 0.7506 O
0.0277 0.1764 0.9031 O
0.0277 0.3236 0.4031 O
0.0814 0.1900 0.6884 O
0.0814 0.3100 0.1884 O
0.2188 0.5536 0.1190 O
0.2188 0.9464 0.6190 O
0.3704 0.1188 0.5812 O
0.3704 0.3812 0.0812 O
0.4280 0.0580 0.2406 O
0.4280 0.4420 0.7406 O
0.5720 0.5580 0.2594 O
0.5720 0.9420 0.7594 O
0.6296 0.6188 0.9188 O
0.6296 0.8812 0.4188 O
0.7812 0.0536 0.3810 O
0.7812 0.4464 0.8810 O
0.9186 0.6900 0.8116 O
0.9186 0.8100 0.3116 O
0.9723 0.6764 0.5969 O
0.9723 0.8236 0.0969 O
0.9860 0.5103 0.2494 O
0.9860 0.9897 0.7494 O